Compound: PaCdBi3
Source: Alexandria
Functional: PBE
Structure: relaxed

Output
The density of states at the Fermi level is 16.3 states/eV per cell. Its offset from the most stable computed form is 18 meV/atom. The energy comes out at -4.390 eV per atom.

a b c (Å): 7.943 7.943 9.809
angles (deg): 96.36 96.36 96.29
Sites, in units of the cell vectors:
Pa (0.199, 0.281, 0.386)
Pa (0.281, 0.199, 0.886)
Pa (0.719, 0.801, 0.114)
Pa (0.801, 0.719, 0.614)
Cd (0.130, 0.870, 0.250)
Cd (0.435, 0.565, 0.750)
Cd (0.565, 0.435, 0.250)
Cd (0.870, 0.130, 0.750)
Bi (0.040, 0.829, 0.918)
Bi (0.068, 0.446, 0.681)
Bi (0.171, 0.960, 0.582)
Bi (0.325, 0.590, 0.051)
Bi (0.410, 0.675, 0.449)
Bi (0.446, 0.068, 0.181)
Bi (0.554, 0.932, 0.819)
Bi (0.590, 0.325, 0.551)
Bi (0.675, 0.410, 0.949)
Bi (0.829, 0.040, 0.418)
Bi (0.932, 0.554, 0.319)
Bi (0.960, 0.171, 0.082)

Compound: PaCd2Bi4
Source: Alexandria
Functional: PBE
Structure: relaxed

Output
The density of states at the Fermi level is 5.1 states/eV per cell. The energy comes out at -3.880 eV per atom.

a b c (Å): 6.623 6.623 4.798
angles (deg): 90.00 90.00 97.01
Sites, in units of the cell vectors:
Pa (0.000, 0.000, 0.000)
Cd (0.250, 0.750, 0.500)
Cd (0.750, 0.250, 0.500)
Bi (0.000, 0.500, 0.000)
Bi (0.268, 0.268, 0.500)
Bi (0.500, 0.000, 0.000)
Bi (0.732, 0.732, 0.500)